A relaxed AcSc2MoO8 crystal, computed with GGA+U.

a = 4.844 Å, b = 4.844 Å, c = 6.982 Å
α = 90.00°, β = 90.00°, γ = 90.08°
Element x y z (fractional)
Ac  0.000  0.000  0.000
Sc  0.500  0.500  0.275
Sc  0.500  0.500  0.725
Mo  0.000  0.000  0.500
O  0.195  0.805  0.299
O  0.195  0.805  0.701
O  0.290  0.290  0.500
O  0.342  0.342  0.000
O  0.658  0.658  0.000
O  0.710  0.710  0.500
O  0.805  0.195  0.299
O  0.805  0.195  0.701

The calculation puts the total energy at -7.909 eV per atom. As for the calculated volume: 163.8 Å³/cell. The total magnetization is 0.21 Bohr magnetons per cell.